P:
Density functional theory data (PBE) for a geometry-optimized CaV2Br structure.

Space group: I-42d

a b c (Å): 11.5694 11.5694 11.5694
angles (deg): 160.31 160.31 27.98
Positions (direct):
Ca  0.0000  0.0000  0.0000
Ca  0.7500  0.2500  0.5000
V  0.2632  0.6250  0.1382
V  0.3750  0.5132  0.6382
V  0.4868  0.1250  0.8618
V  0.8750  0.7368  0.3618
Br  0.2500  0.7500  0.5000
Br  0.5000  0.5000  0.0000

Q:
Density functional theory data (PBE) for a geometry-optimized CaV2Br structure.

Space group: Fm-3m

a b c (Å): 5.1475 5.1475 5.1475
angles (deg): 60.00 60.00 60.00
Positions (direct):
Ca  0.0000  0.0000  0.0000
V  0.2500  0.2500  0.2500
V  0.7500  0.7500  0.7500
Br  0.5000  0.5000  0.5000

The structure with the greatest stability is P.

P:
Density functional theory data (PBE) for a geometry-optimized Ca2VBr structure.

Space group: I-42d

a b c (Å): 6.9678 6.9678 6.9678
angles (deg): 107.77 107.77 112.93
Positions (direct):
Ca  0.1007  0.6250  0.9757
Ca  0.3750  0.3507  0.4757
Ca  0.6493  0.1250  0.0243
Ca  0.8750  0.8993  0.5243
V  0.2500  0.7500  0.5000
V  0.5000  0.5000  0.0000
Br  0.0000  0.0000  0.0000
Br  0.7500  0.2500  0.5000

Q:
Density functional theory data (PBE) for a geometry-optimized Ca2VBr structure.

Space group: Fm-3m

a b c (Å): 5.4910 5.4910 5.4910
angles (deg): 60.00 60.00 60.00
Positions (direct):
Ca  0.2500  0.2500  0.2500
Ca  0.7500  0.7500  0.7500
V  0.0000  0.0000  0.0000
Br  0.5000  0.5000  0.5000

The structure with the greatest stability is P.

P:
Density functional theory data (PBE) for a geometry-optimized CaW2Br structure.

Space group: P4mm

a b c (Å): 3.3532 3.3532 8.9087
angles (deg): 90.00 90.00 90.00
Positions (direct):
Ca  0.0000  0.0000  0.0000
W  0.0000  0.0000  0.3911
W  0.5000  0.5000  0.2730
Br  0.5000  0.5000  0.8026

Q:
Density functional theory data (PBE) for a geometry-optimized CaW2Br structure.

Space group: P2/m

a b c (Å): 3.3349 5.9627 4.5518
angles (deg): 90.00 91.67 90.00
Positions (direct):
Ca  0.0000  0.0000  0.0000
W  0.2640  0.5000  0.1951
W  0.7360  0.5000  0.8049
Br  0.5000  0.0000  0.5000

R:
Density functional theory data (PBE) for a geometry-optimized CaW2Br structure.

Space group: Immm

a b c (Å): 6.4121 6.4121 6.4121
angles (deg): 151.78 139.22 50.33
Positions (direct):
Ca  0.0000  0.0000  0.0000
W  0.2655  0.7655  0.5000
W  0.7345  0.2345  0.5000
Br  0.5000  0.5000  0.0000

S:
Density functional theory data (PBE) for a geometry-optimized CaW2Br structure.

Space group: I-4m2

a b c (Å): 4.7777 4.7777 4.7777
angles (deg): 120.19 120.19 89.67
Positions (direct):
Ca  0.0000  0.0000  0.0000
W  0.2500  0.7500  0.5000
W  0.5000  0.5000  0.0000
Br  0.7500  0.2500  0.5000

The structure with the greatest stability is P.

P:
Density functional theory data (PBE) for a geometry-optimized CaW2Br structure.

Space group: Amm2

a b c (Å): 3.2801 8.0780 8.0780
angles (deg): 24.37 90.00 90.00
Positions (direct):
Ca  0.0000  0.0000  0.0000
W  0.0000  0.7847  0.7847
W  0.5000  0.3557  0.3557
Br  0.5000  0.6288  0.6288

Q:
Density functional theory data (PBE) for a geometry-optimized CaW2Br structure.

Space group: Cm

a b c (Å): 3.4336 3.4336 9.4671
angles (deg): 105.51 105.51 59.31
Positions (direct):
Ca  0.0000  0.0000  0.0000
W  0.4819  0.4819  0.2985
W  0.8979  0.8979  0.4707
Br  0.5547  0.5547  0.7615

The structure with the greatest stability is P.

P:
Density functional theory data (PBE) for a geometry-optimized CaW2Br structure.

Space group: P4/mmm

a b c (Å): 5.1046 5.1046 2.9809
angles (deg): 90.00 90.00 90.00
Positions (direct):
Ca  0.0000  0.0000  0.0000
W  0.0000  0.5000  0.5000
W  0.5000  0.0000  0.5000
Br  0.5000  0.5000  0.0000

Q:
Density functional theory data (PBE) for a geometry-optimized CaW2Br structure.

Space group: Imm2

a b c (Å): 5.9750 5.9750 5.9750
angles (deg): 147.46 123.03 67.16
Positions (direct):
Ca  0.0000  0.0000  0.0000
W  0.3346  0.8346  0.5000
W  0.5113  0.5113  0.0000
Br  0.7398  0.2398  0.5000

The structure with the greatest stability is Q.

P:
Density functional theory data (PBE) for a geometry-optimized CaW2Br structure.

Space group: Cmmm

a b c (Å): 5.8196 5.8196 2.9399
angles (deg): 90.00 90.00 125.58
Positions (direct):
Ca  0.0000  0.0000  0.0000
W  0.0000  0.5000  0.5000
W  0.5000  0.0000  0.5000
Br  0.5000  0.5000  0.0000

Q:
Density functional theory data (PBE) for a geometry-optimized CaW2Br structure.

Space group: Cmmm

a b c (Å): 2.9183 2.9183 9.7822
angles (deg): 90.00 90.00 109.61
Positions (direct):
Ca  0.0000  0.0000  0.0000
W  0.5000  0.5000  0.2698
W  0.5000  0.5000  0.7302
Br  0.0000  0.0000  0.5000

R:
Density functional theory data (PBE) for a geometry-optimized CaW2Br structure.

Space group: I4/mmm

a b c (Å): 6.5344 6.5344 6.5344
angles (deg): 146.39 146.39 48.27
Positions (direct):
Ca  0.0000  0.0000  0.0000
W  0.2500  0.7500  0.5000
W  0.7500  0.2500  0.5000
Br  0.5000  0.5000  0.0000

S:
Density functional theory data (PBE) for a geometry-optimized CaW2Br structure.

Space group: Pmmm

a b c (Å): 2.9831 5.3071 5.3831
angles (deg): 90.00 90.00 90.00
Positions (direct):
Ca  0.0000  0.0000  0.0000
W  0.5000  0.5000  0.2224
W  0.5000  0.5000  0.7776
Br  0.0000  0.0000  0.5000

The structure with the greatest stability is R.

P:
Density functional theory data (PBE) for a geometry-optimized CaW2Br structure.

Space group: I-42d

a b c (Å): 12.7411 12.7411 12.7411
angles (deg): 162.82 162.82 24.39
Positions (direct):
Ca  0.0000  0.0000  0.0000
Ca  0.7500  0.2500  0.5000
W  0.0963  0.1250  0.4713
W  0.3750  0.9037  0.0287
W  0.6537  0.6250  0.5287
W  0.8750  0.3463  0.9713
Br  0.2500  0.7500  0.5000
Br  0.5000  0.5000  0.0000

Q:
Density functional theory data (PBE) for a geometry-optimized CaW2Br structure.

Space group: R-3m

a b c (Å): 9.9291 9.9291 9.9291
angles (deg): 17.53 17.53 17.53
Positions (direct):
Ca  0.0000  0.0000  0.0000
W  0.2420  0.2420  0.2420
W  0.7580  0.7580  0.7580
Br  0.5000  0.5000  0.5000

The structure with the greatest stability is P.

P:
Density functional theory data (PBE) for a geometry-optimized CaW2Br structure.

Space group: P4/mmm

a b c (Å): 3.7799 3.7799 6.0092
angles (deg): 90.00 90.00 90.00
Positions (direct):
Ca  0.0000  0.0000  0.0000
W  0.0000  0.5000  0.5000
W  0.5000  0.0000  0.5000
Br  0.5000  0.5000  0.0000

Q:
Density functional theory data (PBE) for a geometry-optimized CaW2Br structure.

Space group: P4/mmm

a b c (Å): 2.9038 2.9038 9.3465
angles (deg): 90.00 90.00 90.00
Positions (direct):
Ca  0.0000  0.0000  0.0000
W  0.5000  0.5000  0.2759
W  0.5000  0.5000  0.7241
Br  0.0000  0.0000  0.5000

R:
Density functional theory data (PBE) for a geometry-optimized CaW2Br structure.

Space group: Fm-3m

a b c (Å): 4.7518 4.7518 4.7518
angles (deg): 60.00 60.00 60.00
Positions (direct):
Ca  0.0000  0.0000  0.0000
W  0.2500  0.2500  0.2500
W  0.7500  0.7500  0.7500
Br  0.5000  0.5000  0.5000

The structure with the greatest stability is P.